Computed, not measured: an optimized crystal structure of NbCoReRh2 at the GGA-PBE level of DFT.

As for the formation energy: 1.821 eV per atom. The magnetic moment comes out at 4.3 μB/cell. As for the crystal system: tetragonal. For the uncorrected energy, the calculation gives -35.22 eV/cell.

The structure belongs to space group P4/mmm (No. 123); the cell edges are 4.676, 4.676 and 4.782 Å and the angles 90.00°, 90.00° and 90.00°. The asymmetric unit holds Nb at (0.000, 0.000, 0.000), Co at (0.500, 0.500, 0.500), Re at (0.000, 0.000, 0.500) and Rh at (0.000, 0.500, 0.000).